1.
# LiMnSi

LiMnSi after structural relaxation (PBE, Alexandria via LeMat-Bulk).

Properties
- SG: I4/mmm
- E_tot: -34.31 eV per cell
- Total magnetic moment: 0.00 μB per cell

```
data_LiMnSi
_space_group_name_H-M_alt 'P 1'
_space_group_IT_number 1
_space_group_name_Hall 'P 1'
_cell_length_a 2.675
_cell_length_b 2.675
_cell_length_c 11.536
_cell_angle_alpha 96.66
_cell_angle_beta 96.66
_cell_angle_gamma 90.00
loop_
_atom_site_label
_atom_site_type_symbol
_atom_site_fract_x
_atom_site_fract_y
_atom_site_fract_z
_atom_site_occupancy
Mn1 Mn 0.283 0.283 0.565 1
Si1 Si 0.850 0.850 0.700 1
Mn2 Mn 0.717 0.717 0.435 1
Li1 Li 0.567 0.567 0.135 1
Li2 Li 0.433 0.433 0.865 1
Si2 Si 0.150 0.150 0.300 1
```



2.
# SrCeAgSb

SrCeAgSb after structural relaxation (PBE, Alexandria via LeMat-Bulk).

Properties
- SG: F-43m
- E_tot: -16.61 eV per cell
- Total magnetic moment: 1.77 μB per cell

```
data_SrCeAgSb
_space_group_name_H-M_alt 'P 1'
_space_group_IT_number 1
_space_group_name_Hall 'P 1'
_cell_length_a 5.505
_cell_length_b 5.505
_cell_length_c 5.505
_cell_angle_alpha 60.00
_cell_angle_beta 60.00
_cell_angle_gamma 60.00
loop_
_atom_site_label
_atom_site_type_symbol
_atom_site_fract_x
_atom_site_fract_y
_atom_site_fract_z
_atom_site_occupancy
Ce1 Ce 0.750 0.750 0.750 1
Sr1 Sr 0.250 0.250 0.250 1
Sb1 Sb 0.500 0.500 0.500 1
Ag1 Ag 0.000 0.000 0.000 1
```